(1)
Here is an optimized crystal structure of HfPt3 from the Alexandria database. Energies are from GGA-PBE.

Cell and atoms, written as extended XYZ:
```
4
Lattice="-2.007 2.007 4.096 2.007 -2.007 4.096 2.007 2.007 -4.096" Properties=species:S:1:pos:R:3 pbc="T T T"
Hf 0.000 0.000 0.000
Pt 2.007 0.000 2.048
Pt 0.000 0.000 4.096
Pt 0.000 2.007 2.048
```

Results
SG = I4/mmm (139)
total magnetic moment = 0.00 μB per formula unit
calculated volume = 66 Å³ per cell


(2)
Here is an optimized crystal structure of Hf3Pt from the Alexandria database. Energies are from GGA-PBE.

Cell and atoms, written as extended XYZ:
```
4
Lattice="3.191 0.000 0.000 0.000 3.226 0.000 0.000 0.000 8.719" Properties=species:S:1:pos:R:3 pbc="T T T"
Hf 0.000 0.000 0.000
Hf 0.000 1.613 2.849
Hf 1.596 1.613 6.639
Pt 1.596 0.000 4.306
```

Results
SG = Pmm2 (25)
total magnetic moment = 0.00 μB per formula unit
calculated volume = 90 Å³ per cell


(3)
Here is an optimized crystal structure of Hf2Pt13 from the Alexandria database. Energies are from GGA-PBE.

Cell and atoms, written as extended XYZ:
```
15
Lattice="3.588 2.072 6.517 -3.588 2.072 6.517 0.000 -4.143 6.517" Properties=species:S:1:pos:R:3 pbc="T T T"
Hf 0.000 0.000 2.686
Hf 0.000 0.000 16.863
Pt 0.000 0.000 0.000
Pt 0.000 -1.653 4.755
Pt -1.432 0.826 4.755
Pt 0.000 -1.528 7.469
Pt -1.323 0.764 7.469
Pt -1.323 -0.764 12.081
Pt -1.431 -0.826 14.795
Pt 1.431 0.826 4.755
Pt 1.323 0.764 7.469
Pt 1.323 -0.764 12.081
Pt 0.000 1.528 12.081
Pt 1.431 -0.826 14.795
Pt 0.000 1.653 14.795
```

Results
SG = R-3m (166)
total magnetic moment = 0.00 μB per formula unit
calculated volume = 291 Å³ per cell


(4)
Here is an optimized crystal structure of Hf13Pt2 from the Alexandria database. Energies are from GGA-PBE.

Cell and atoms, written as extended XYZ:
```
15
Lattice="5.624 0.000 0.000 1.017 7.318 0.000 1.722 2.880 7.769" Properties=species:S:1:pos:R:3 pbc="T T T"
Hf 0.000 0.000 0.000
Hf 1.949 5.152 5.533
Hf 1.792 1.996 1.708
Hf 3.655 7.079 7.339
Hf 3.751 9.177 5.046
Hf 3.700 3.905 3.222
Hf 3.798 6.206 1.087
Hf 4.564 3.993 6.681
Hf 4.662 6.293 4.547
Hf 4.612 1.022 2.723
Hf 4.708 3.120 0.430
Hf 6.570 8.203 6.061
Hf 6.414 5.047 2.236
Pt 2.331 7.010 3.350
Pt 6.032 3.189 4.419
```

Results
SG = P-1 (2)
total magnetic moment = 0.00 μB per formula unit
calculated volume = 320 Å³ per cell


(5)
Here is an optimized crystal structure of HfPt3 from the Alexandria database. Energies are from GGA-PBE.

Cell and atoms, written as extended XYZ:
```
16
Lattice="5.700 0.000 0.000 -2.850 4.936 0.000 0.000 0.000 9.325" Properties=species:S:1:pos:R:3 pbc="T T T"
Hf 0.000 0.000 0.000
Hf 0.000 0.000 4.662
Hf 0.000 3.291 2.331
Hf 2.850 1.645 6.994
Pt -1.425 2.468 0.000
Pt -1.425 2.468 4.662
Pt 0.000 1.669 6.994
Pt -1.404 4.102 6.994
Pt 1.446 0.835 2.331
Pt 2.850 0.000 0.000
Pt 2.850 0.000 4.662
Pt 1.425 2.468 0.000
Pt 1.425 2.468 4.662
Pt 1.404 4.102 6.994
Pt 4.254 0.835 2.331
Pt 2.850 3.267 2.331
```

Results
SG = P6_3/mmc (194)
total magnetic moment = 0.00 μB per formula unit
calculated volume = 262 Å³ per cell


(6)
Here is an optimized crystal structure of HfPt6 from the Alexandria database. Energies are from GGA-PBE.

Cell and atoms, written as extended XYZ:
```
7
Lattice="-3.479 3.479 3.479 3.479 -3.479 3.479 3.479 3.479 -3.479" Properties=species:S:1:pos:R:3 pbc="T T T"
Hf 0.000 0.000 0.000
Pt 3.479 1.740 0.000
Pt 3.479 0.000 1.740
Pt 1.740 3.479 0.000
Pt 1.740 0.000 3.479
Pt 0.000 3.479 1.740
Pt 0.000 1.740 3.479
```

Results
SG = Im-3m (229)
total magnetic moment = 0.05 μB per formula unit
calculated volume = 168 Å³ per cell


(7)
Here is an optimized crystal structure of Hf2Pt3 from the Alexandria database. Energies are from GGA-PBE.

Cell and atoms, written as extended XYZ:
```
5
Lattice="-1.740 1.740 7.383 1.740 -1.740 7.383 1.740 1.740 -7.383" Properties=species:S:1:pos:R:3 pbc="T T T"
Hf 0.000 0.000 1.638
Hf 0.000 0.000 13.128
Pt 0.000 0.000 4.511
Pt 0.000 0.000 7.383
Pt 0.000 0.000 10.254
```

Results
SG = I4/mmm (139)
total magnetic moment = 0.00 μB per formula unit
calculated volume = 89 Å³ per cell


(8)
Here is an optimized crystal structure of HfPt4 from the Alexandria database. Energies are from GGA-PBE.

Cell and atoms, written as extended XYZ:
```
10
Lattice="-2.072 2.817 7.079 2.072 -2.817 7.079 2.072 2.817 -7.079" Properties=species:S:1:pos:R:3 pbc="T T T"
Hf 0.000 1.408 1.535
Hf 2.072 1.408 5.544
Pt 2.072 0.000 0.000
Pt 2.072 -1.408 5.721
Pt 2.072 -0.038 2.711
Pt 2.072 2.779 -2.711
Pt 0.000 0.000 7.079
Pt 0.000 0.038 9.790
Pt 0.000 2.854 4.368
Pt 0.000 4.225 1.358
```

Results
SG = Imma (74)
total magnetic moment = 0.00 μB per formula unit
calculated volume = 165 Å³ per cell


no.,DFT formation energy (eV/atom),calculated density (g cm⁻³)
1,-1.03,19.22
2,-0.22,13.51
3,-0.11,16.53
4,-0.25,14.08
5,-1.11,19.33
6,0.98,13.30
7,-1.14,17.51
8,-0.85,19.27